# Rb2MgTi

Crystalline Rb2MgTi at its relaxed geometry (GGA-PBEsol, Alexandria).

Structure (extended XYZ):
```
8
Lattice="6.656 0.000 0.000 3.328 7.150 0.000 3.328 0.000 7.150" Properties=species:S:1:pos:R:3 pbc="T T T"
Mg 3.328 0.000 0.000
Mg 4.992 3.575 3.575
Rb 10.816 7.120 3.604
Rb 4.160 0.029 3.546
Rb 5.824 3.604 0.029
Rb 5.824 3.546 7.120
Ti 0.000 0.000 0.000
Ti 8.320 3.575 3.575
```

Summary:
SG: I-42d
size of the total moment: 7.08 μB/cell
Fermi-level density of states: 10.09 states/eV/f.u.
ΔE_f: 1.10 eV per atom